(1)
The following is a PBE-GGA calculation of a relaxed structure of YMg2H6, from Alexandria via LeMat-Bulk.

Cell and atoms, written as CIF:
```
data_YMg2H6
_chemical_formula_sum 'Y1 Mg2 H6'
_cell_length_a 5.3258
_cell_length_b 5.3258
_cell_length_c 5.3258
_cell_angle_alpha 60.00
_cell_angle_beta 60.00
_cell_angle_gamma 60.00
_space_group_name_H-M_alt 'P 1'
_space_group_IT_number 1
loop_
_space_group_symop_operation_xyz
'x,y,z'
loop_
_atom_site_label
_atom_site_fract_x
_atom_site_fract_y
_atom_site_fract_z
Mg1 0.2500 0.2500 0.2500
Y1 0.0000 0.0000 0.0000
H1 0.7250 0.2750 0.7250
H2 0.2750 0.2750 0.7250
Mg2 0.7500 0.7500 0.7500
H3 0.7250 0.2750 0.2750
H4 0.7250 0.7250 0.2750
H5 0.2750 0.7250 0.7250
H6 0.2750 0.7250 0.2750
```

Summary:
VASP energy: -3.05 eV/atom
total moment: 0.00 μB/f.u.

***

(2)
The following is a PBE-GGA calculation of a relaxed structure of Pr3SmAl4, from Alexandria via LeMat-Bulk.

Cell and atoms, written as CIF:
```
data_Pr3SmAl4
_chemical_formula_sum 'Pr3 Sm1 Al4'
_cell_length_a 3.7401
_cell_length_b 3.7401
_cell_length_c 14.9618
_cell_angle_alpha 90.00
_cell_angle_beta 90.00
_cell_angle_gamma 90.00
_space_group_name_H-M_alt 'P 1'
_space_group_IT_number 1
loop_
_space_group_symop_operation_xyz
'x,y,z'
loop_
_atom_site_label
_atom_site_fract_x
_atom_site_fract_y
_atom_site_fract_z
Pr1 0.5000 0.5000 0.2470
Pr2 0.5000 0.5000 0.5000
Pr3 0.5000 0.5000 0.7530
Al1 0.0000 0.0000 0.8809
Sm1 0.5000 0.5000 0.0000
Al2 0.0000 0.0000 0.3735
Al3 0.0000 0.0000 0.1191
Al4 0.0000 0.0000 0.6265
```

Summary:
energy relative to the elements: -0.35 eV/atom
total moment: 0.00 μB/f.u.

***

(3)
The following is a PBE-GGA calculation of a relaxed structure of PmHoZrN3, from Alexandria via LeMat-Bulk.

Cell and atoms, written as CIF:
```
data_PmHoZrN3
_chemical_formula_sum 'Pm2 Ho2 Zr2 N6'
_cell_length_a 3.4141
_cell_length_b 5.8140
_cell_length_c 8.9491
_cell_angle_alpha 101.50
_cell_angle_beta 90.00
_cell_angle_gamma 90.00
_space_group_name_H-M_alt 'P 1'
_space_group_IT_number 1
loop_
_space_group_symop_operation_xyz
'x,y,z'
loop_
_atom_site_label
_atom_site_fract_x
_atom_site_fract_y
_atom_site_fract_z
Zr1 0.2500 0.7648 0.0412
Ho1 0.2500 0.1477 0.6411
N1 0.2500 0.7519 0.5021
N2 0.2500 0.4532 0.8522
Zr2 0.7500 0.2352 0.9588
N3 0.2500 0.9656 0.8565
Ho2 0.7500 0.8523 0.3589
Pm1 0.2500 0.3406 0.3003
N4 0.7500 0.5468 0.1478
N5 0.7500 0.2481 0.4979
Pm2 0.7500 0.6594 0.6997
N6 0.7500 0.0344 0.1435
```

Summary:
E_form (uncorrected): -1.45 eV/atom
total moment: 0.00 μB/f.u.

***

(4)
The following is a PBE-GGA calculation of a relaxed structure of KYCdCl6, from Alexandria via LeMat-Bulk.

Cell and atoms, written as CIF:
```
data_KYCdCl6
_chemical_formula_sum 'K2 Y2 Cd2 Cl12'
_cell_length_a 6.9373
_cell_length_b 6.9373
_cell_length_c 13.8412
_cell_angle_alpha 90.00
_cell_angle_beta 90.00
_cell_angle_gamma 120.00
_space_group_name_H-M_alt 'P 1'
_space_group_IT_number 1
loop_
_space_group_symop_operation_xyz
'x,y,z'
loop_
_atom_site_label
_atom_site_fract_x
_atom_site_fract_y
_atom_site_fract_z
Cd1 0.3333 0.6667 0.2500
Cl1 0.9990 0.3706 0.1403
Cd2 0.6667 0.3333 0.7500
Cl2 0.3706 0.3715 0.8597
Cl3 0.3715 0.3706 0.3597
Y1 0.3333 0.6667 0.7500
Y2 0.6667 0.3333 0.2500
Cl4 0.9990 0.6285 0.3597
Cl5 0.3706 0.9990 0.6403
K1 0.0000 0.0000 0.5000
K2 0.0000 0.0000 0.0000
Cl6 0.6294 0.0010 0.3597
Cl7 0.6294 0.6285 0.1403
Cl8 0.6285 0.9990 0.8597
Cl9 0.6285 0.6294 0.6403
Cl10 0.0010 0.3715 0.6403
Cl11 0.3715 0.0010 0.1403
Cl12 0.0010 0.6294 0.8597
```

Summary:
E_form (uncorrected): -1.84 eV/atom
total moment: 0.00 μB/f.u.

***

(5)
The following is a PBE-GGA calculation of a relaxed structure of TiB3I, from Alexandria via LeMat-Bulk.

Cell and atoms, written as CIF:
```
data_TiB3I
_chemical_formula_sum 'Ti1 B3 I1'
_cell_length_a 4.4177
_cell_length_b 4.4177
_cell_length_c 4.4177
_cell_angle_alpha 90.00
_cell_angle_beta 90.00
_cell_angle_gamma 90.00
_space_group_name_H-M_alt 'P 1'
_space_group_IT_number 1
loop_
_space_group_symop_operation_xyz
'x,y,z'
loop_
_atom_site_label
_atom_site_fract_x
_atom_site_fract_y
_atom_site_fract_z
B1 0.0000 0.0000 0.5000
B2 0.0000 0.5000 0.0000
B3 0.5000 0.0000 0.0000
Ti1 0.0000 0.0000 0.0000
I1 0.5000 0.5000 0.5000
```

Summary:
E_form (uncorrected): 1.81 eV/atom
total moment: 0.00 μB/f.u.

***

(6)
The following is a PBE-GGA calculation of a relaxed structure of CaPd3, from Alexandria via LeMat-Bulk.

Cell and atoms, written as CIF:
```
data_CaPd3
_chemical_formula_sum 'Ca1 Pd3'
_cell_length_a 4.2240
_cell_length_b 4.2240
_cell_length_c 4.9704
_cell_angle_alpha 115.15
_cell_angle_beta 115.15
_cell_angle_gamma 90.00
_space_group_name_H-M_alt 'P 1'
_space_group_IT_number 1
loop_
_space_group_symop_operation_xyz
'x,y,z'
loop_
_atom_site_label
_atom_site_fract_x
_atom_site_fract_y
_atom_site_fract_z
Pd1 0.2500 0.7500 0.5000
Pd2 0.7500 0.2500 0.5000
Pd3 0.5000 0.5000 0.0000
Ca1 0.0000 0.0000 0.0000
```

Summary:
energy relative to the elements: -0.46 eV/atom
total moment: 0.00 μB/f.u.

***

(7)
The following is a PBE-GGA calculation of a relaxed structure of Tb11Nd4Tm9, from Alexandria via LeMat-Bulk.

Cell and atoms, written as CIF:
```
data_Tb11Nd4Tm9
_chemical_formula_sum 'Tb11 Nd4 Tm9'
_cell_length_a 3.6742
_cell_length_b 15.0539
_cell_length_c 15.0539
_cell_angle_alpha 112.85
_cell_angle_beta 90.00
_cell_angle_gamma 90.00
_space_group_name_H-M_alt 'P 1'
_space_group_IT_number 1
loop_
_space_group_symop_operation_xyz
'x,y,z'
loop_
_atom_site_label
_atom_site_fract_x
_atom_site_fract_y
_atom_site_fract_z
Tb1 0.0000 0.1596 0.8404
Nd1 0.5000 0.2446 0.4456
Tb2 0.0000 0.8404 0.1596
Tb3 0.0000 0.2881 0.2881
Tm1 0.5000 0.5000 0.5000
Tm2 0.5000 0.9346 0.7889
Tb4 0.0000 0.4065 0.0439
Tm3 0.5000 0.3659 0.8370
Tb5 0.0000 0.5935 0.9561
Tm4 0.5000 0.2111 0.0654
Tb6 0.0000 0.7119 0.7119
Tm5 0.5000 0.7889 0.9346
Tb7 0.0000 0.9561 0.5935
Tb8 0.0000 0.6347 0.3653
Tm6 0.5000 0.6341 0.1630
Tb9 0.0000 0.0439 0.4065
Tb10 0.0000 0.3653 0.6347
Tm7 0.5000 0.8370 0.3659
Tm8 0.5000 0.0654 0.2111
Nd2 0.5000 0.5544 0.7554
Tm9 0.5000 0.1630 0.6341
Nd3 0.5000 0.4456 0.2446
Nd4 0.5000 0.7554 0.5544
Tb11 0.0000 0.0000 0.0000
```

Summary:
energy relative to the elements: 0.06 eV/atom
total moment: 0.00 μB/f.u.

***

(8)
The following is a PBE-GGA calculation of a relaxed structure of BaRhSN2, from Alexandria via LeMat-Bulk.

Cell and atoms, written as CIF:
```
data_BaRhSN2
_chemical_formula_sum 'Ba1 Rh1 S1 N2'
_cell_length_a 4.5490
_cell_length_b 4.5490
_cell_length_c 6.1475
_cell_angle_alpha 90.00
_cell_angle_beta 90.00
_cell_angle_gamma 90.00
_space_group_name_H-M_alt 'P 1'
_space_group_IT_number 1
loop_
_space_group_symop_operation_xyz
'x,y,z'
loop_
_atom_site_label
_atom_site_fract_x
_atom_site_fract_y
_atom_site_fract_z
S1 0.0000 0.0000 0.5000
Ba1 0.0000 0.0000 0.0000
N1 0.5000 0.0000 0.0000
N2 0.0000 0.5000 0.0000
Rh1 0.5000 0.5000 0.5000
```

Summary:
E_form (uncorrected): 2.17 eV/atom
total moment: 4.68 μB/f.u.

***

The highest total moment belongs to which entry? BaRhSN2